*A*
Material: FePdSCl2
Method: DFT, GGA-PBE
State: relaxed

Output
magnetic moment	0.000	μB/atom
space group	P4/mmm (123)
calculated volume	18.85	A^3/atom

a b c (Å): 4.7418 4.7418 4.1926
angles (deg): 90.00 90.00 90.00
Last column: nearest neighbours and their distance in Å.
Sites, in units of the cell vectors:
Pd 0.5000 0.5000 0.5000  8 Cl 3.16, 4 S 3.35
Fe 0.0000 0.0000 0.0000  2 S 2.10
Cl 0.0000 0.5000 0.0000  2 Fe 2.37
Cl 0.5000 0.0000 0.0000  2 Fe 2.37
S 0.0000 0.0000 0.5000  2 Fe 2.10

*B*
Material: FePdSCl2
Method: DFT, GGA-PBE
State: relaxed

Output
magnetic moment	0.782	μB/atom
space group	P4/mmm (123)
calculated volume	21.89	A^3/atom

a b c (Å): 4.7533 4.7533 4.8452
angles (deg): 90.00 90.00 90.00
Last column: nearest neighbours and their distance in Å.
Sites, in units of the cell vectors:
Fe 0.5000 0.5000 0.5000  4 S 3.36, 8 Cl 3.39
Cl 0.5000 0.0000 0.0000  2 Pd 2.38
Cl 0.0000 0.5000 0.0000  2 Pd 2.38
S 0.0000 0.0000 0.5000  2 Pd 2.42
Pd 0.0000 0.0000 0.0000  4 Cl 2.38, 2 S 2.42

Verdict on stability: *A* comes out on top.

*A*
Material: FePtCl
Method: DFT, GGA-PBE
State: relaxed

Output
magnetic moment	1.318	μB/atom
space group	P3m1 (156)
calculated volume	17.37	A^3/atom

a b c (Å): 2.9935 2.9935 6.7162
angles (deg): 90.00 90.00 120.00
Last column: nearest neighbours and their distance in Å.
Sites, in units of the cell vectors:
Pt 0.3333 0.6667 0.6075  3 Fe 2.60
Fe 0.6667 0.3333 0.3185  3 Cl 2.38, 3 Pt 2.60
Cl 0.0000 0.0000 0.0740  3 Fe 2.38

*B*
Material: FePtCl
Method: DFT, GGA-PBE
State: relaxed

Output
magnetic moment	1.357	μB/atom
space group	I4mm (107)
calculated volume	17.98	A^3/atom

a b c (Å): 6.7559 6.7559 6.7559
angles (deg): 155.26 155.26 35.27
Last column: nearest neighbours and their distance in Å.
Sites, in units of the cell vectors:
Pt 0.7059 0.7059 0.0000  4 Fe 2.65, 4 Pt 2.89
Cl 0.9574 0.9574 0.0000  4 Fe 2.57
Fe 0.3368 0.3368 0.0000  4 Cl 2.57, 4 Pt 2.65

Verdict on stability: *A* comes out on top.

*A*
Material: FePtCl
Method: DFT, GGA-PBE
State: relaxed

Output
magnetic moment	1.175	μB/atom
space group	F-43m (216)
calculated volume	18.02	A^3/atom

a b c (Å): 4.2440 4.2440 4.2440
angles (deg): 60.00 60.00 60.00
Last column: nearest neighbours and their distance in Å.
Sites, in units of the cell vectors:
Pt 0.0000 0.0000 0.0000  4 Fe 2.60
Cl 0.5000 0.5000 0.5000  4 Fe 2.60
Fe 0.2500 0.2500 0.2500  4 Pt 2.60, 4 Cl 2.60

*B*
Material: FePtCl
Method: DFT, GGA-PBE
State: relaxed

Output
magnetic moment	1.210	μB/atom
space group	P3m1 (156)
calculated volume	15.52	A^3/atom

a b c (Å): 4.2902 4.2902 2.9211
angles (deg): 90.00 90.00 120.00
Last column: nearest neighbours and their distance in Å.
Sites, in units of the cell vectors:
Pt 0.3333 0.6667 0.6759  6 Cl 2.82-2.93, 6 Fe 2.86-2.89, 2 Pt 2.92
Cl 0.0000 0.0000 0.1393  3 Fe 2.48
Fe 0.6667 0.3333 0.1848  3 Cl 2.48

Verdict on stability: *B* comes out on top.

*A*
Material: FePtCl2
Method: DFT, GGA-PBE
State: relaxed

Output
magnetic moment	1.179	μB/atom
space group	P4/mmm (123)
calculated volume	21.41	A^3/atom

a b c (Å): 2.9050 2.9049 10.1492
angles (deg): 90.00 90.00 90.00
Last column: nearest neighbours and their distance in Å.
Sites, in units of the cell vectors:
Cl 0.0000 0.0000 0.4007  4 Fe 2.56
Cl 0.0000 0.0000 0.0993  4 Fe 2.56
Pt 0.5000 0.5000 0.7500  4 Pt 2.90
Fe 0.5000 0.5000 0.2500  8 Cl 2.56

*B*
Material: FePtCl2
Method: DFT, GGA-PBE
State: relaxed

Output
magnetic moment	0.888	μB/atom
space group	Fmmm (69)
calculated volume	18.69	A^3/atom

a b c (Å): 4.3346 5.0423 4.3315
angles (deg): 64.06 91.04 115.95
Last column: nearest neighbours and their distance in Å.
Sites, in units of the cell vectors:
Fe 0.0000 0.5000 0.5000  4 Cl 2.50
Cl 0.5000 0.0000 0.5000  2 Fe 2.50, 2 Pt 2.50
Cl 0.0000 0.0000 0.0000  2 Pt 2.50, 2 Fe 2.50
Pt 0.5000 0.5000 0.0000  4 Cl 2.50

Verdict on stability: *B* comes out on top.

*A*
Material: FePtCl2
Method: DFT, GGA-PBE
State: relaxed

Output
magnetic moment	0.093	μB/atom
space group	R-3m (166)
calculated volume	16.76	A^3/atom

a b c (Å): 7.5083 7.5083 7.5083
angles (deg): 25.10 25.10 25.10
Last column: nearest neighbours and their distance in Å.
Sites, in units of the cell vectors:
Cl 0.8925 0.8925 0.8925  3 Fe 2.28, 1 Pt 2.34
Cl 0.1075 0.1075 0.1075  3 Fe 2.28, 1 Pt 2.34
Pt 0.0000 0.0000 0.0000  2 Cl 2.34
Fe 0.5000 0.5000 0.5000  6 Cl 2.28

*B*
Material: FePtCl2
Method: DFT, GGA-PBE
State: relaxed

Output
magnetic moment	0.993	μB/atom
space group	Pm (6)
calculated volume	21.29	A^3/atom

a b c (Å): 3.1705 3.2212 8.3479
angles (deg): 92.55 90.00 90.00
Last column: nearest neighbours and their distance in Å.
Sites, in units of the cell vectors:
Cl 0.5000 0.3415 0.3322  2 Fe 2.33
Cl 0.0000 0.9079 0.9252  2 Pt 2.43
Fe 0.0000 0.3653 0.5377  2 Cl 2.33
Pt 0.5000 0.8854 0.7049  2 Cl 2.43, 4 Fe 2.65-2.66

*C*
Material: FePtCl2
Method: DFT, GGA-PBE
State: relaxed

Output
magnetic moment	1.000	μB/atom
space group	Cm (8)
calculated volume	23.51	A^3/atom

a b c (Å): 4.9160 4.9160 6.3499
angles (deg): 80.77 80.77 38.44
Last column: nearest neighbours and their distance in Å.
Sites, in units of the cell vectors:
Pt 0.1850 0.1850 0.3658  1 Cl 2.37, 3 Fe 2.59-2.64
Cl 0.8240 0.8240 0.6302  2 Fe 2.43
Cl 0.0261 0.0261 0.1096  1 Pt 2.37, 2 Fe 2.42
Fe 0.4650 0.4650 0.3944  4 Cl 2.42-2.43, 3 Pt 2.59-2.64

Verdict on stability: *B* comes out on top.

*A*
Material: FePtCl2
Method: DFT, GGA-PBE
State: relaxed

Output
magnetic moment	0.829	μB/atom
space group	P2/m (10)
calculated volume	18.65	A^3/atom

a b c (Å): 3.9956 4.3161 4.3281
angles (deg): 91.84 90.00 90.00
Last column: nearest neighbours and their distance in Å.
Sites, in units of the cell vectors:
Fe 0.5000 0.2500 0.2500  4 Cl 2.48
Cl 0.0000 0.0066 0.0065  2 Fe 2.48, 2 Pt 2.52
Cl 0.0000 0.4934 0.4935  2 Fe 2.48, 2 Pt 2.52
Pt 0.5000 0.7500 0.7500  4 Cl 2.52

*B*
Material: FePtCl2
Method: DFT, GGA-PBE
State: relaxed

Output
magnetic moment	1.225	μB/atom
space group	R-3m (166)
calculated volume	20.92	A^3/atom

a b c (Å): 10.4686 10.4686 10.4686
angles (deg): 16.81 16.81 16.81
Last column: nearest neighbours and their distance in Å.
Sites, in units of the cell vectors:
Cl 0.0313 0.0313 0.0313  3 Fe 2.39
Cl 0.4687 0.4687 0.4687  3 Fe 2.39
Fe 0.7500 0.7500 0.7500  6 Cl 2.39
Pt 0.2500 0.2500 0.2500  6 Pt 3.06

*C*
Material: FePtCl2
Method: DFT, GGA-PBE
State: relaxed

Output
magnetic moment	0.892	μB/atom
space group	Immm (71)
calculated volume	17.60	A^3/atom

a b c (Å): 5.2522 5.2522 5.2522
angles (deg): 147.09 114.35 75.41
Last column: nearest neighbours and their distance in Å.
Sites, in units of the cell vectors:
Fe 0.7500 0.2500 0.5000  4 Cl 2.34
Cl 0.5321 0.5321 0.0000  2 Fe 2.34
Cl 0.9679 0.9679 0.0000  2 Fe 2.34
Pt 0.2500 0.7500 0.5000  4 Cl 2.78, 2 Pt 2.98

Verdict on stability: *B* comes out on top.